No. 1
A plane-wave DFT calculation with SCAN was carried out for a PBEsol-optimized structure of Sb4Te3.

Lattice parameters (Å, degrees): 3.7902 3.7902 13.3899 98.14 98.14 90.00
With the nearest neighbours (Å) after each atom.
Fractional coordinates of all 7 atoms:
Sb: 0.8567 0.8567 0.7134  4 Te 3.13, 4 Sb 3.28
Sb: 0.1433 0.1433 0.2866  4 Te 3.13, 4 Sb 3.28
Sb: 0.5715 0.5715 0.1430  5 Te 3.27-3.50, 4 Sb 3.28
Sb: 0.4285 0.4285 0.8570  5 Te 3.27-3.50, 4 Sb 3.28
Te: 0.0000 0.0000 0.0000  8 Sb 3.27
Te: 0.7050 0.7050 0.4100  5 Sb 3.13-3.50
Te: 0.2950 0.2950 0.5900  5 Sb 3.13-3.50

Calculated values
- magnetic moment (μB per cell) = 0.0
- raw formation energy (meV/atom) = 239

No. 2
A plane-wave DFT calculation with SCAN was carried out for a PBEsol-optimized structure of Sb16Te3.

Lattice parameters (Å, degrees): 4.3211 4.3211 35.5512 86.52 86.52 60.00
With the nearest neighbours (Å) after each atom.
Fractional coordinates of all 19 atoms:
Sb: 0.2086 0.2086 0.3742  3 Sb 2.93
Sb: 0.3153 0.3153 0.0540  6 Te 3.02-3.14
Sb: 0.0552 0.0552 0.8343  3 Sb 2.93
Sb: 0.5766 0.5766 0.2701  3 Sb 2.93
Sb: 0.8955 0.8955 0.3135  3 Sb 2.93
Sb: 0.2636 0.2636 0.2091  3 Sb 2.93
Sb: 0.9448 0.9448 0.1657  3 Sb 2.93
Sb: 0.4725 0.4725 0.5825  3 Sb 2.93
Sb: 0.1045 0.1045 0.6865  3 Sb 2.93
Sb: 0.8406 0.8406 0.4783  3 Sb 2.93
Sb: 0.5275 0.5275 0.4175  3 Sb 2.93
Sb: 0.7364 0.7364 0.7909  3 Sb 2.93
Sb: 0.7914 0.7914 0.6258  3 Sb 2.93
Sb: 0.1594 0.1594 0.5217  3 Sb 2.93
Sb: 0.4234 0.4234 0.7299  3 Sb 2.93
Sb: 0.6847 0.6847 0.9460  6 Te 3.02-3.14
Te: 0.6328 0.6328 0.1017  6 Sb 3.02-3.37
Te: 0.0000 0.0000 0.0000  6 Sb 3.14
Te: 0.3672 0.3672 0.8983  6 Sb 3.02-3.37

Calculated values
- magnetic moment (μB per cell) = 0.0
- raw formation energy (meV/atom) = -24

No. 3
A plane-wave DFT calculation with SCAN was carried out for a PBEsol-optimized structure of Sb8Te3.

Lattice parameters (Å, degrees): 4.3102 4.3102 21.0188 84.12 84.12 60.00
With the nearest neighbours (Å) after each atom.
Fractional coordinates of all 11 atoms:
Sb: 0.3642 0.3642 0.9075  6 Te 3.01-3.15
Sb: 0.6358 0.6358 0.0925  6 Te 3.01-3.15
Sb: 0.0948 0.0948 0.7155  3 Sb 2.93
Sb: 0.9052 0.9052 0.2845  3 Sb 2.93
Sb: 0.4528 0.4528 0.6415  3 Sb 2.93
Sb: 0.5472 0.5472 0.3585  3 Sb 2.93
Sb: 0.8210 0.8210 0.5369  3 Sb 2.93
Sb: 0.1790 0.1790 0.4631  3 Sb 2.93
Te: 0.0000 0.0000 0.0000  6 Sb 3.15
Te: 0.7246 0.7246 0.8261  3 Sb 3.01
Te: 0.2754 0.2754 0.1739  3 Sb 3.01

Calculated values
- magnetic moment (μB per cell) = 0.0
- raw formation energy (meV/atom) = -41